## a
Pr5Te4Pb: relaxed, PBE-GGA.

Computed properties:
* volume: 33.379 Å³ per atom
* magnetic moment: 0.000 μB/f.u.

Geometry as POSCAR:
```
Pr5Te4Pb
1.0
-5.097 5.097 3.212
5.097 -5.097 3.212
5.097 5.097 -3.212
Pr Te Pb
5 4 1
direct
0.000 0.000 0.000 Pr
0.203 0.599 0.802 Pr
0.401 0.203 0.604 Pr
0.599 0.797 0.396 Pr
0.797 0.401 0.198 Pr
0.099 0.300 0.400 Te
0.300 0.901 0.201 Te
0.700 0.099 0.799 Te
0.901 0.700 0.600 Te
0.500 0.500 0.000 Pb
```


## b
Pr5Te4Pb: relaxed, PBE-GGA.

Computed properties:
* volume: 33.373 Å³ per atom
* magnetic moment: 0.000 μB/f.u.

Geometry as POSCAR:
```
Pr5Te4Pb
1.0
-2.275 2.275 16.118
2.275 -2.275 16.118
2.275 2.275 -16.118
Pr Te Pb
5 4 1
direct
0.000 0.000 0.000 Pr
0.202 0.202 0.000 Pr
0.401 0.401 0.000 Pr
0.599 0.599 0.000 Pr
0.798 0.798 0.000 Pr
0.101 0.101 0.000 Te
0.301 0.301 0.000 Te
0.699 0.699 0.000 Te
0.899 0.899 0.000 Te
0.500 0.500 0.000 Pb
```


Q: What are the energies relative to the best structure? A: a 0.0; b 1.6, in kJ/mol of atoms.


## a
Pr2TePb: relaxed, PBE-GGA.

Computed properties:
* volume: 34.831 Å³ per atom
* magnetic moment: 0.000 μB/f.u.

Geometry as POSCAR:
```
Pr2TePb
1.0
2.262 1.306 7.861
-2.262 1.306 7.861
0.000 -2.612 7.861
Pr Te Pb
2 1 1
direct
0.000 0.000 0.000 Pr
0.176 0.176 0.176 Pr
0.757 0.757 0.757 Te
0.587 0.587 0.587 Pb
```


## b
Pr2TePb: relaxed, PBE-GGA.

Computed properties:
* volume: 33.879 Å³ per atom
* magnetic moment: 0.000 μB/f.u.

Geometry as POSCAR:
```
Pr2TePb
1.0
-3.232 3.232 6.486
3.232 -3.232 6.486
3.232 3.232 -6.486
Pr Te Pb
4 2 2
direct
0.124 0.374 0.750 Pr
0.374 0.124 0.250 Pr
0.626 0.876 0.750 Pr
0.876 0.626 0.250 Pr
0.375 0.625 0.750 Te
0.625 0.375 0.250 Te
0.125 0.875 0.250 Pb
0.875 0.125 0.750 Pb
```


Q: What are the energies relative to the best structure? A: a 11.2; b 0.0, in kJ/mol of atoms.


## a
Pr2TePb: relaxed, PBE-GGA.

Computed properties:
* volume: 34.074 Å³ per atom
* magnetic moment: 0.000 μB/f.u.

Geometry as POSCAR:
```
Pr2TePb
1.0
2.290 1.322 7.500
-2.290 1.322 7.500
0.000 -2.645 7.500
Pr Te Pb
2 1 1
direct
0.248 0.248 0.248 Pr
0.752 0.752 0.752 Pr
0.000 0.000 0.000 Te
0.500 0.500 0.500 Pb
```


## b
Pr2TePb: relaxed, PBE-GGA.

Computed properties:
* volume: 30.650 Å³ per atom
* magnetic moment: 0.456 μB/f.u.

Geometry as POSCAR:
```
Pr2TePb
1.0
3.801 0.000 0.000
0.000 3.801 0.000
0.000 0.000 8.485
Pr Te Pb
2 1 1
direct
0.000 0.000 0.238 Pr
0.000 0.000 0.762 Pr
0.500 0.500 0.000 Te
0.500 0.500 0.500 Pb
```


Q: What are the energies relative to the best structure? A: a 0.0; b 12.6, in kJ/mol of atoms.